A plane-wave DFT calculation with PBE-GGA was carried out for a relaxed structure of Na2Sn4Pt.

Cell: 6.185 13.890 4.909 Å, 90.00 90.00 90.00°
Atoms (fractional coordinates):
1 Na 0.000 0.129 0.000
2 Na 0.000 0.871 0.000
3 Na 0.500 0.371 0.000
4 Na 0.500 0.629 0.000
5 Sn 0.000 0.286 0.500
6 Sn 0.000 0.399 0.000
7 Sn 0.000 0.601 0.000
8 Sn 0.000 0.714 0.500
9 Sn 0.500 0.101 0.000
10 Sn 0.500 0.214 0.500
11 Sn 0.500 0.786 0.500
12 Sn 0.500 0.899 0.000
13 Pt 0.000 0.500 0.500
14 Pt 0.500 0.000 0.500

Computed properties:
ΔE to the lowest computed polymorph, meV/atom: 0.0
Formation energy, meV per atom: -3
Symmetry: Cmmm, No. 65